The following is a PBE calculation of a geometry-optimized VRu2Rh structure, from Alexandria via LeMat-Bulk.

Energy: -8.61 eV/atom

Geometry as CIF:
```
data_VRu2Rh
_symmetry_space_group_name_H-M 'F m -3 m'
_symmetry_Int_Tables_number 225
_symmetry_space_group_name_Hall '-F 4 2 3'
_cell_length_a 6.086
_cell_length_b 6.086
_cell_length_c 6.086
_cell_angle_alpha 90.00
_cell_angle_beta 90.00
_cell_angle_gamma 90.00
loop_
_atom_site_label
_atom_site_fract_x
_atom_site_fract_y
_atom_site_fract_z
V1 0.000 0.000 0.000
Ru1 0.250 0.250 0.250
Rh1 0.000 0.000 0.500
```